(1)
## Na2TiBr4 (GGA-PBE)

Data for a relaxed structure of Na2TiBr4.

Unit cell a=4.918 b=4.918 c=12.117 alpha=78.29 beta=78.29 gamma=90.00
Site moments in Bohr magnetons follow the coordinates.
Fractional positions:
Na 0.195 0.195 0.610  0.00
Na 0.805 0.805 0.390  0.00
Br 0.315 0.315 0.369  0.01
Br 0.685 0.685 0.631  0.01
Br 0.000 0.500 0.000  -0.04
Br 0.500 0.000 0.000  -0.04
Ti 0.000 0.000 0.000  1.58

Values from the calculation:
symmetry = I4/mmm
total magnetic moment = 0.29 μB/atom
DOS(E_F) = 2.35 states/eV/cell

=====

(2)
## Na2TiBr (GGA-PBE)

Data for a relaxed structure of Na2TiBr.

Unit cell a=5.538 b=5.538 c=5.538 alpha=60.00 beta=60.00 gamma=60.00
Site moments in Bohr magnetons follow the coordinates.
Fractional positions:
Na 0.250 0.250 0.250  0.02
Na 0.750 0.750 0.750  0.02
Br 0.500 0.500 0.500  0.04
Ti 0.000 0.000 0.000  2.14

Values from the calculation:
symmetry = Fm-3m
total magnetic moment = 0.77 μB/atom
DOS(E_F) = 1.25 states/eV/cell

=====

(3)
## NaTiBr3 (GGA-PBE)

Data for a relaxed structure of NaTiBr3.

Unit cell a=5.299 b=5.299 c=5.299 alpha=90.00 beta=90.00 gamma=90.00
Site moments in Bohr magnetons follow the coordinates.
Fractional positions:
Na 0.500 0.500 0.500  0.00
Br 0.000 0.500 0.000  0.00
Br 0.000 0.000 0.500  0.00
Br 0.500 0.000 0.000  0.01
Ti 0.000 0.000 0.000  1.63

Values from the calculation:
symmetry = Pm-3m
total magnetic moment = 0.40 μB/atom
DOS(E_F) = 4.21 states/eV/cell

=====

(4)
## Na3TiBr6 (GGA-PBE)

Data for a relaxed structure of Na3TiBr6.

Unit cell a=8.497 b=8.497 c=8.497 alpha=90.94 beta=90.94 gamma=90.94
Site moments in Bohr magnetons follow the coordinates.
Fractional positions:
Na 0.427 0.915 0.753  0.00
Na 0.915 0.753 0.427  0.00
Na 0.247 0.573 0.085  0.00
Na 0.753 0.427 0.915  0.00
Na 0.085 0.247 0.573  0.00
Na 0.573 0.085 0.247  0.00
Ti 0.000 0.000 0.000  0.92
Ti 0.500 0.500 0.500  0.92
Br 0.289 0.934 0.081  -0.01
Br 0.066 0.919 0.711  -0.01
Br 0.571 0.794 0.451  -0.01
Br 0.919 0.711 0.066  -0.01
Br 0.451 0.571 0.794  -0.01
Br 0.206 0.549 0.429  -0.01
Br 0.794 0.451 0.571  -0.01
Br 0.549 0.429 0.206  -0.01
Br 0.081 0.289 0.934  -0.01
Br 0.429 0.206 0.549  -0.01
Br 0.934 0.081 0.289  -0.01
Br 0.711 0.066 0.919  -0.01

Values from the calculation:
symmetry = R-3
total magnetic moment = 0.10 μB/atom
DOS(E_F) = 14.27 states/eV/cell

=====

(5)
## NaTiBr2 (GGA-PBE)

Data for a relaxed structure of NaTiBr2.

Unit cell a=5.054 b=5.054 c=5.054 alpha=60.00 beta=60.00 gamma=60.00
Site moments in Bohr magnetons follow the coordinates.
Fractional positions:
Na 0.000 0.000 0.000  0.03
Br 0.250 0.250 0.250  -0.02
Br 0.750 0.750 0.750  -0.02
Ti 0.500 0.500 0.500  2.17

Values from the calculation:
symmetry = Fm-3m
total magnetic moment = 0.75 μB/atom
DOS(E_F) = 2.46 states/eV/cell

=====

(6)
## Na2TiBr4 (GGA-PBE)

Data for a relaxed structure of Na2TiBr4.

Unit cell a=7.266 b=7.266 c=6.962 alpha=121.46 beta=121.46 gamma=90.00
Site moments in Bohr magnetons follow the coordinates.
Fractional positions:
Na 0.750 0.250 0.500  0.00
Na 0.250 0.750 0.500  0.00
Ti 0.500 0.500 0.000  1.65
Br 0.838 0.378 0.215  0.00
Br 0.378 0.838 0.215  0.00
Br 0.622 0.622 0.785  0.00
Br 0.162 0.162 0.785  0.00

Values from the calculation:
symmetry = I-42m
total magnetic moment = 0.29 μB/atom

=====

(7)
## NaTiBr4 (GGA-PBE)

Data for a relaxed structure of NaTiBr4.

Unit cell a=8.449 b=6.538 c=9.036 alpha=98.99 beta=107.97 gamma=116.08
Site moments in Bohr magnetons follow the coordinates.
Fractional positions:
Na 0.215 0.465 0.930  0.00
Na 0.785 0.535 0.070  0.00
Ti 0.055 0.805 0.610  0.88
Ti 0.945 0.195 0.390  0.88
Br 0.037 0.343 0.166  -0.01
Br 0.629 0.823 0.166  -0.01
Br 0.255 0.588 0.617  -0.01
Br 0.745 0.412 0.383  -0.01
Br 0.139 0.971 0.383  -0.01
Br 0.371 0.177 0.834  -0.01
Br 0.861 0.029 0.617  -0.01
Br 0.963 0.657 0.834  -0.01

Values from the calculation:
symmetry = C2/c
total magnetic moment = 0.17 μB/atom
DOS(E_F) = 4.74 states/eV/cell

=====

(8)
## NaTiBr4 (GGA-PBE)

Data for a relaxed structure of NaTiBr4.

Unit cell a=3.950 b=6.845 c=7.252 alpha=93.46 beta=90.00 gamma=90.00
Site moments in Bohr magnetons follow the coordinates.
Fractional positions:
Na 0.000 0.000 0.000  0.00
Ti 0.500 0.000 0.500  0.93
Br 0.000 0.785 0.628  -0.01
Br 0.500 0.220 0.795  -0.02
Br 0.500 0.780 0.205  -0.02
Br 0.000 0.215 0.372  -0.01

Values from the calculation:
symmetry = P2/m
total magnetic moment = 0.17 μB/atom
DOS(E_F) = 2.58 states/eV/cell

=====

(9)
## NaTiBr3 (GGA-PBE)

Data for a relaxed structure of NaTiBr3.

Unit cell a=4.619 b=6.850 c=10.303 alpha=109.42 beta=90.00 gamma=90.00
Site moments in Bohr magnetons follow the coordinates.
Fractional positions:
Na 0.250 0.030 0.636  0.00
Na 0.750 0.394 0.364  0.00
Ti 0.250 0.718 0.111  0.54
Ti 0.750 0.607 0.889  0.54
Br 0.750 0.914 0.812  0.01
Br 0.750 0.548 0.122  0.00
Br 0.750 0.319 0.619  0.00
Br 0.250 0.426 0.878  0.00
Br 0.250 0.102 0.188  0.01
Br 0.250 0.700 0.381  0.00

Values from the calculation:
symmetry = Ama2
total magnetic moment = 0.15 μB/atom
DOS(E_F) = 4.74 states/eV/cell

=====

(10)
## Na2TiTlBr6 (GGA-PBE)

Data for a relaxed structure of Na2TiTlBr6.

Unit cell a=7.428 b=7.427 c=8.019 alpha=62.39 beta=62.36 gamma=59.95
Site moments in Bohr magnetons follow the coordinates.
Fractional positions:
Na 0.521 0.521 0.437  0.00
Na 0.003 0.003 0.992  0.00
Ti 0.328 0.328 0.015  0.92
Tl 0.812 0.812 0.564  0.00
Br 0.552 0.257 0.225  -0.01
Br 0.257 0.966 0.225  -0.01
Br 0.966 0.552 0.225  -0.01
Br 0.379 0.700 0.777  -0.01
Br 0.701 0.143 0.777  -0.01
Br 0.143 0.380 0.777  -0.01

Values from the calculation:
symmetry = P1
total magnetic moment = 0.10 μB/atom
DOS(E_F) = 6.88 states/eV/cell

=====

(11)
## NaTiTlBr6 (GGA-PBE)

Data for a relaxed structure of NaTiTlBr6.

Unit cell a=7.312 b=7.312 c=6.829 alpha=90.03 beta=89.97 gamma=59.91
Fractional positions:
Na 0.666 0.666 0.500
Ti 0.333 0.333 0.500
Tl 0.000 0.000 0.000
Br 0.044 0.349 0.283
Br 0.349 0.044 0.717
Br 0.607 0.349 0.717
Br 0.043 0.608 0.716
Br 0.349 0.607 0.283
Br 0.608 0.043 0.284

Values from the calculation:
symmetry = C2
total magnetic moment = 0.00 μB/atom

=====

(12)
## NaTiZnBr2 (GGA-PBE)

Data for a relaxed structure of NaTiZnBr2.

Unit cell a=5.486 b=5.229 c=5.486 alpha=90.00 beta=90.00 gamma=90.00
Site moments in Bohr magnetons follow the coordinates.
Fractional positions:
Na 0.000 0.500 0.000  0.00
Zn 0.000 0.000 0.000  0.01
Br 0.000 0.000 0.500  -0.01
Br 0.500 0.000 0.000  0.00
Ti 0.500 0.500 0.500  -2.23

Values from the calculation:
symmetry = P4/mmm
total magnetic moment = 0.63 μB/atom
DOS(E_F) = 5.07 states/eV/cell

=====

| no. | formation energy without anion corrections (eV per atom) | E (eV/atom) |
| --- | --- | --- |
| 1 | -0.997 | -3.46 |
| 2 | 0.355 | -2.70 |
| 3 | -1.047 | -3.89 |
| 4 | -1.384 | -3.57 |
| 5 | -0.500 | -3.64 |
| 6 | -1.207 | -3.67 |
| 7 | -1.284 | -3.94 |
| 8 | -1.291 | -3.94 |
| 9 | -1.058 | -3.90 |
| 10 | -1.240 | -3.53 |
| 11 | -1.166 | -3.57 |
| 12 | 0.423 | -2.34 |